Er3Ge4 | SCAN | PBEsol geometry

Structure (POSCAR):
```
Er3Ge4
1.0
3.959 0.000 0.000
-1.980 5.235 0.000
0.000 0.000 13.991
Er Ge
6 8
direct
0.330 0.659 0.903
0.670 0.341 0.097
0.670 0.341 0.403
0.330 0.659 0.597
0.955 0.911 0.250
0.045 0.089 0.750
0.381 0.762 0.108
0.619 0.238 0.892
0.619 0.238 0.608
0.381 0.762 0.392
0.226 0.451 0.250
0.774 0.549 0.750
0.000 0.000 0.500
0.000 0.000 0.000
```

Output
energy: -33.33 eV/atom
SG: Cmcm, No. 63
crystal system: orthorhombic
size of the total moment: 0.0000 μB per atom
density of states at the Fermi level: 0.281 states/eV/atom
calculated volume: 145.00 Å³/f.u.
formation energy: -5.96 eV per formula unit

---

ZrBe2Pb | SCAN | PBEsol geometry

Structure (POSCAR):
```
ZrBe2Pb
1.0
-1.057 0.256 3.639
-2.973 -2.256 -0.705
4.553 -2.656 -0.472
Pb Be Zr
1 2 1
direct
0.500 0.500 0.000
0.000 0.000 0.000
0.750 0.250 0.500
0.250 0.750 0.500
```

Output
energy: -28.63 eV/atom
SG: I-4m2, No. 119
crystal system: tetragonal
size of the total moment: 0.0000 μB per atom
density of states at the Fermi level: 0.613 states/eV/atom
calculated volume: 65.78 Å³/f.u.
formation energy: 0.66 eV per formula unit

---

TlTcP2 | SCAN | PBEsol geometry

Structure (POSCAR):
```
TlTcP2
1.0
-1.625 -0.632 -2.585
2.239 -3.149 1.243
-5.373 -1.124 3.652
P Tc Tl
2 1 1
direct
0.773 0.546 0.854
0.227 0.454 0.146
0.500 0.000 0.000
0.000 0.000 0.500
```

Output
energy: -32.03 eV/atom
SG: C2/m, No. 12
crystal system: monoclinic
size of the total moment: 0.0006 μB per atom
density of states at the Fermi level: 0.730 states/eV/atom
calculated volume: 76.04 Å³/f.u.
formation energy: 0.09 eV per formula unit

---

BaZn3Au | SCAN | PBEsol geometry

Structure (POSCAR):
```
BaZn3Au
1.0
-1.056 4.796 0.245
-2.895 -0.836 3.886
3.832 0.690 3.003
Zn Au Ba
3 1 1
direct
0.000 0.500 0.000
0.000 0.000 0.500
0.500 0.000 0.000
0.000 0.000 0.000
0.500 0.500 0.500
```

Output
energy: -30.16 eV/atom
SG: Pm-3m, No. 221
crystal system: cubic
size of the total moment: 0.1282 μB per atom
density of states at the Fermi level: 0.344 states/eV/atom
calculated volume: 118.89 Å³/f.u.
formation energy: -1.54 eV per formula unit

---

Mn3Br | SCAN | PBEsol geometry

Structure (POSCAR):
```
Mn3Br
1.0
3.009 0.000 0.000
0.000 4.706 0.000
-1.504 -2.353 4.296
Br Mn
1 3
direct
0.000 0.002 0.000
0.500 0.470 0.000
0.255 0.602 0.510
0.745 0.092 0.490
```

Output
energy: -18.26 eV/atom
SG: Imm2, No. 44
crystal system: orthorhombic
size of the total moment: 2.8917 μB per atom
density of states at the Fermi level: 0.654 states/eV/atom
calculated volume: 60.84 Å³/f.u.

---

MnMoRu3 | SCAN | PBEsol geometry

Structure (POSCAR):
```
MnMoRu3
1.0
4.539 0.000 0.000
0.000 4.539 0.000
0.000 0.000 4.539
Ru Mo Mn
3 1 1
direct
0.000 0.500 0.000
0.000 0.000 0.500
0.500 0.000 0.000
0.000 0.000 0.000
0.500 0.500 0.500
```

Output
energy: -30.09 eV/atom
SG: Pm-3m, No. 221
crystal system: cubic
size of the total moment: 1.1466 μB per atom
density of states at the Fermi level: 0.885 states/eV/atom
calculated volume: 93.53 Å³/f.u.
formation energy: 7.18 eV per formula unit

---

Mg2AlIn | SCAN | PBEsol geometry

Structure (POSCAR):
```
Mg2AlIn
1.0
4.283 0.000 0.000
0.000 4.390 0.000
0.000 0.000 4.390
Mg Al In
2 1 1
direct
0.000 0.000 0.500
0.000 0.500 0.000
0.500 0.500 0.500
0.500 0.000 0.000
```

Output
energy: -12.85 eV/atom
SG: P4/mmm, No. 123
crystal system: tetragonal
size of the total moment: 0.0001 μB per atom
density of states at the Fermi level: 0.327 states/eV/atom
calculated volume: 82.55 Å³/f.u.
formation energy: -0.32 eV per formula unit

---

BeZn | SCAN | PBEsol geometry

Structure (POSCAR):
```
BeZn
1.0
2.563 0.000 0.000
0.000 3.791 0.000
-1.282 0.000 4.549
Be Zn
2 2
direct
0.564 0.750 0.128
0.436 0.250 0.872
0.837 0.750 0.674
0.163 0.250 0.326
```

Output
energy: -8.78 eV/atom
SG: Cmcm, No. 63
crystal system: orthorhombic
size of the total moment: 0.0000 μB per atom
density of states at the Fermi level: 0.196 states/eV/atom
calculated volume: 22.10 Å³/f.u.
formation energy: 0.31 eV per formula unit

---

LaYF3 | SCAN | PBEsol geometry

Structure (POSCAR):
```
LaYF3
1.0
4.748 0.000 0.000
0.000 4.748 0.000
0.000 0.000 4.748
Y F La
1 3 1
direct
0.500 0.500 0.500
0.000 0.500 0.000
0.000 0.000 0.500
0.500 0.000 0.000
0.000 0.000 0.000
```

Output
energy: -18.90 eV/atom
SG: Pm-3m, No. 221
crystal system: cubic
size of the total moment: 0.4157 μB per atom
density of states at the Fermi level: 0.798 states/eV/atom
calculated volume: 107.01 Å³/f.u.

---

ZrSc2Fe | SCAN | PBEsol geometry

Structure (POSCAR):
```
ZrSc2Fe
1.0
4.711 0.000 0.000
2.356 4.080 0.000
2.356 1.360 3.847
Fe Sc Zr
1 2 1
direct
0.000 0.000 0.000
0.750 0.750 0.750
0.250 0.250 0.250
0.500 0.500 0.500
```

Output
energy: -19.05 eV/atom
SG: Fm-3m, No. 225
crystal system: cubic
size of the total moment: 0.1206 μB per atom
density of states at the Fermi level: 1.653 states/eV/atom
calculated volume: 73.93 Å³/f.u.
formation energy: 1.12 eV per formula unit

---

BaSr3B | SCAN | PBEsol geometry

Structure (POSCAR):
```
BaSr3B
1.0
6.433 0.000 0.000
0.000 6.433 0.000
0.000 0.000 6.433
Sr B Ba
3 1 1
direct
0.000 0.500 0.000
0.000 0.000 0.500
0.500 0.000 0.000
0.500 0.500 0.500
0.000 0.000 0.000
```

Output
energy: -21.02 eV/atom
SG: Pm-3m, No. 221
crystal system: cubic
size of the total moment: 0.6045 μB per atom
density of states at the Fermi level: 0.354 states/eV/atom
calculated volume: 266.21 Å³/f.u.
formation energy: 8.71 eV per formula unit

---

ZnCo2Cl | SCAN | PBEsol geometry

Structure (POSCAR):
```
ZnCo2Cl
1.0
-0.105 -1.091 -2.516
4.048 -1.253 -1.123
-0.896 -5.610 0.974
Zn Co Cl
1 2 1
direct
0.500 0.500 0.500
0.144 0.049 0.663
0.856 0.951 0.337
0.500 0.000 0.000
```

Output
energy: -13.95 eV/atom
SG: C2/m, No. 12
crystal system: monoclinic
size of the total moment: 0.7905 μB per atom
density of states at the Fermi level: 0.526 states/eV/atom
calculated volume: 63.96 Å³/f.u.